# LiTbSi2Au2 | Alexandria via LeMat-Bulk | PBE-GGA | optimized geometry
data_LiTbSi2Au2
_cell_length_a 4.3121
_cell_length_b 4.3121
_cell_length_c 6.6954
_cell_angle_alpha 90.00
_cell_angle_beta 90.00
_cell_angle_gamma 120.00
_symmetry_space_group_name_H-M 'P -3 m 1'
_symmetry_Int_Tables_number 164
_symmetry_space_group_name_Hall '-P 3 2"'
loop_
_atom_site_label
_atom_site_type_symbol
_atom_site_fract_x
_atom_site_fract_y
_atom_site_fract_z
Li1 Li 0.0000 0.0000 0.0000
Tb1 Tb 0.0000 0.0000 0.5000
Si1 Si 0.3333 0.6667 0.2200
Au1 Au 0.3333 0.6667 0.8037
# E_tot	-27.55	eV for the cell shown
# calculated volume	17.97	Å³/atom
# total magnetic moment	0.00	μB/cell